This record from the Alexandria database describes a relaxed VZn4Cu crystal. The functional is PBE-GGA.

Cell: 2.6283 4.5581 8.5451 Å, 116.51 90.00 106.76°
Site moments in Bohr magnetons follow the coordinates.
Fractional coordinates of all 6 atoms:
Zn1 0.8094 0.1188 0.6752  0.01
Zn2 0.1536 0.8072 0.8477  -0.01
Zn3 0.1906 0.8812 0.3248  0.01
Zn4 0.8464 0.1928 0.1523  -0.01
V1 0.0000 0.5000 0.5000  1.26
Cu1 0.5000 0.5000 0.0000  -0.01

The size of the total moment is 0.238 μB per atom. The formation energy is 3.499 kcal/mol of atoms. The symmetry is No. 12. The value obtained for the volume is 86.7 Å³ per cell. The density of states at the Fermi level comes out at 3.0 states/eV/cell. The energy relative to the lowest polymorph listed for this composition comes out at 0.0 meV per atom.